First-principles (GGA-PBE) data for crystalline CePrSm2 at its relaxed geometry, as listed in Alexandria via LeMat-Bulk.

Structure (POSCAR):
```
CePrSm2
1.0
0.000 4.084 4.084
4.084 0.000 4.084
4.084 4.084 0.000
Ce Pr Sm
1 1 2
Direct
0.000 0.000 0.000 Ce
0.500 0.500 0.500 Pr
0.250 0.250 0.250 Sm
0.750 0.750 0.750 Sm
```

Results
**ΔE to the lowest computed polymorph**: 140 meV per atom
**Calculated volume**: 34.0 A^3/atom
**Uncorrected energy**: -4.836 eV per atom
**Formation energy from the elements**: 0.2017 eV per atom
**Total magnetization**: 1.8 μB per formula unit